VASP calculation (PBE) on PaIrRu2 after structural relaxation.

For the energy relative to the lowest polymorph listed for this composition, the calculation gives 0.0000 eV per atom. Its calculated density is 15.56 g/cm3. The formation enthalpy at 0 K is -2.2 eV per formula unit. The calculation puts the density of states at the Fermi level at 14.058 states/eV per cell. The total energy comes out at -9.7845 eV per atom. For the total magnetization, the calculation gives 0.000 μB per atom.

The space group is Imma (No. 74) and the conventional cell measures 5.7123, 8.1737 and 5.7180 Å, with angles of 90.00, 90.00 and 90.00 degrees. Symmetry generates all atoms from Pa at (0.0000, 0.0000, 0.0000), Ir at (0.2500, 0.2500, 0.2500), Ru at (0.0000, 0.0000, 0.5000) and Ru at (0.2500, 0.2500, 0.7500).